Record 1
Compound: Ac6Ge2HSe3
Source: Alexandria via LeMat-Bulk
Functional: PBE-GGA
Structure: relaxed

Total DFT energy (no corrections)   -0.191 hartree per atom
Calculated density   7575 kg/m³
Density of states at the Fermi level   0.381 states/eV/atom
Space-group type   C2/m (12)

a = 4.5213 Å, b = 8.9609 Å, c = 10.0294 Å
α = 104.51°, β = 103.03°, γ = 90.00°
Closest atoms and distances in Å follow each position.
Fractional coordinates of all 12 atoms:
Ac 0.3388 0.9138 0.6776  1 H 3.04, 2 Ge 3.12, 3 Se 3.19-3.22
Ac 0.6703 0.5794 0.3405  3 Ge 3.18-3.19, 3 Se 3.22
Ac 0.6612 0.0862 0.3224  1 H 3.04, 2 Ge 3.12, 3 Se 3.19-3.22
Ac 0.9992 0.2506 0.9985  1 Ge 3.05, 3 Se 3.18-3.20, 2 H 3.19
Ac 0.0008 0.7494 0.0015  1 Ge 3.05, 3 Se 3.18-3.20, 2 H 3.19
Ac 0.3297 0.4206 0.6595  3 Ge 3.18-3.19, 3 Se 3.22
Ge 0.8392 0.6742 0.6785  6 Ac 3.05-3.19
Ge 0.1608 0.3258 0.3215  6 Ac 3.05-3.19
H 0.5000 0.0000 0.0000  6 Ac 3.04-3.19
Se 0.5000 0.5000 0.0000  6 Ac 3.18-3.22
Se 0.8297 0.1640 0.6594  6 Ac 3.19-3.22
Se 0.1703 0.8360 0.3406  6 Ac 3.19-3.22

Record 2
Compound: TaCd2Ni
Source: Alexandria via LeMat-Bulk
Functional: PBE-GGA
Structure: relaxed

Total DFT energy (no corrections)   -0.161 hartree per atom
Calculated density   10947 kg/m³
E_form   0.473 eV/atom
Density of states at the Fermi level   0.962 states/eV/atom
Space-group type   I4/mmm (139)

a = 5.1553 Å, b = 5.1553 Å, c = 5.1553 Å
α = 133.68°, β = 133.68°, γ = 67.59°
Closest atoms and distances in Å follow each position.
Fractional coordinates of all 4 atoms:
Cd 0.0000 0.0000 0.0000  4 Cd 2.87, 4 Ta 2.95, 4 Ni 2.95
Cd 0.5000 0.5000 0.0000  4 Cd 2.87, 4 Ni 2.95, 4 Ta 2.95
Ni 0.2500 0.7500 0.5000  4 Ta 2.87, 8 Cd 2.95
Ta 0.7500 0.2500 0.5000  4 Ni 2.87, 8 Cd 2.95

Record 3
Compound: Dy7Pd3
Source: Alexandria via LeMat-Bulk
Functional: PBE-GGA
Structure: relaxed

Total DFT energy (no corrections)   -0.196 hartree per atom
Calculated density   9085 kg/m³
E_form   -0.555 eV/atom
Density of states at the Fermi level   1.374 states/eV/atom
Space-group type   P6_3mc (186)

a = 6.2672 Å, b = 9.9054 Å, c = 9.9054 Å
α = 120.00°, β = 90.00°, γ = 90.00°
Closest atoms and distances in Å follow each position.
Fractional coordinates of all 20 atoms:
Dy 0.1237 0.6667 0.3333  3 Pd 2.89
Dy 0.6237 0.3333 0.6667  3 Pd 2.89
Dy 0.9312 0.8745 0.7490  3 Pd 2.90-2.95
Dy 0.9312 0.8745 0.1255  3 Pd 2.90-2.95
Dy 0.9312 0.2510 0.1255  3 Pd 2.90-2.95
Dy 0.4312 0.1255 0.2510  3 Pd 2.90-2.95
Dy 0.4312 0.1255 0.8745  3 Pd 2.90-2.95
Dy 0.4312 0.7490 0.8745  3 Pd 2.90-2.95
Dy 0.1302 0.4604 0.9208  2 Pd 2.85
Dy 0.1302 0.4604 0.5396  2 Pd 2.85
Dy 0.1302 0.0792 0.5396  2 Pd 2.85
Dy 0.6302 0.5396 0.0792  2 Pd 2.85
Dy 0.6302 0.5396 0.4604  2 Pd 2.85
Dy 0.6302 0.9208 0.4604  2 Pd 2.85
Pd 0.8667 0.1904 0.3807  6 Dy 2.85-2.95
Pd 0.8667 0.1904 0.8096  6 Dy 2.85-2.95
Pd 0.8667 0.6193 0.8096  6 Dy 2.85-2.95
Pd 0.3667 0.8096 0.6193  6 Dy 2.85-2.95
Pd 0.3667 0.8096 0.1904  6 Dy 2.85-2.95
Pd 0.3667 0.3807 0.1904  6 Dy 2.85-2.95

Record 4
Compound: Pm3NdSc2Te6
Source: Alexandria via LeMat-Bulk
Functional: PBE-GGA
Structure: relaxed

Total DFT energy (no corrections)   -0.202 hartree per atom
Energy relative to the elements, uncorrected   -1.295 eV/atom
Calculated density   6699 kg/m³
Density of states at the Fermi level   0.621 states/eV/atom
Space-group type   C2/m (12)

a = 4.3475 Å, b = 8.8092 Å, c = 9.7900 Å
α = 103.03°, β = 102.83°, γ = 90.00°
Closest atoms and distances in Å follow each position.
Fractional coordinates of all 12 atoms:
Pm 0.5000 0.5000 0.0000  6 Te 3.09-3.22
Pm 0.8422 0.1698 0.6845  6 Te 3.11-3.21
Pm 0.1578 0.8302 0.3155  6 Te 3.11-3.21
Nd 0.5000 0.0000 0.0000  6 Te 3.11-3.19
Sc 0.8351 0.6701 0.6703  6 Te 2.88-3.02
Sc 0.1649 0.3299 0.3297  6 Te 2.88-3.02
Te 0.3283 0.8992 0.6567  2 Sc 2.99, 3 Pm 3.17-3.19, 1 Nd 3.19
Te 0.6730 0.5712 0.3459  3 Sc 3.02, 3 Pm 3.21-3.22
Te 0.6717 0.1008 0.3433  2 Sc 2.99, 3 Pm 3.17-3.19, 1 Nd 3.19
Te 0.0096 0.2566 0.0192  1 Sc 2.88, 3 Pm 3.09-3.11, 2 Nd 3.11
Te 0.9904 0.7434 0.9808  1 Sc 2.88, 3 Pm 3.09-3.11, 2 Nd 3.11
Te 0.3270 0.4288 0.6541  3 Sc 3.02, 3 Pm 3.21-3.22

Record 5
Compound: Pa2BeCo3
Source: Alexandria via LeMat-Bulk
Functional: PBE-GGA
Structure: relaxed

Total DFT energy (no corrections)   -0.283 hartree per atom
Calculated density   12567 kg/m³
E_form   -0.352 eV/atom
Density of states at the Fermi level   0.979 states/eV/atom
Space-group type   R-3m (166)

a = 4.7694 Å, b = 4.7694 Å, c = 4.7694 Å
α = 65.32°, β = 65.32°, γ = 65.32°
Closest atoms and distances in Å follow each position.
Fractional coordinates of all 6 atoms:
Pa 0.3715 0.3715 0.3715  9 Co 2.73-2.95, 1 Pa 2.88, 3 Be 3.00
Pa 0.6285 0.6285 0.6285  9 Co 2.73-2.95, 1 Pa 2.88, 3 Be 3.00
Be 0.0000 0.0000 0.0000  6 Co 2.38
Co 0.0000 0.0000 0.5000  2 Be 2.38, 4 Co 2.57
Co 0.5000 0.0000 0.0000  2 Be 2.38, 4 Co 2.57
Co 0.0000 0.5000 0.0000  2 Be 2.38, 4 Co 2.57

Record 6
Compound: PrDy2Zn4
Source: Alexandria via LeMat-Bulk
Functional: PBE-GGA
Structure: relaxed

Total DFT energy (no corrections)   -0.105 hartree per atom
Calculated density   7005 kg/m³
E_form   -0.130 eV/atom
Density of states at the Fermi level   0.735 states/eV/atom
Space-group type   I4/mmm (139)

a = 5.2037 Å, b = 5.2037 Å, c = 7.3555 Å
α = 110.72°, β = 110.72°, γ = 90.00°
Closest atoms and distances in Å follow each position.
Fractional coordinates of all 7 atoms:
Pr 0.0000 0.0000 0.0000  8 Zn 2.99
Dy 0.7246 0.7246 0.4492  4 Zn 2.95
Dy 0.2754 0.2754 0.5508  4 Zn 2.95
Zn 0.3846 0.8846 0.7692  1 Zn 2.94, 2 Dy 2.95, 2 Pr 2.99
Zn 0.8846 0.3846 0.7692  1 Zn 2.94, 2 Dy 2.95, 2 Pr 2.99
Zn 0.6154 0.1154 0.2308  1 Zn 2.94, 2 Dy 2.95, 2 Pr 2.99
Zn 0.1154 0.6154 0.2308  1 Zn 2.94, 2 Dy 2.95, 2 Pr 2.99